Crystalline Na3FeBSO7 at its relaxed geometry, computed with GGA+U.

Structure (extended XYZ):
```
26
Lattice="9.068 0.002 -0.006 -0.002 6.904 0.006 0.108 -0.005 5.281" Properties=species:S:1:pos:R:3 pbc="T T T"
Na 2.153 6.836 1.262
O 1.303 5.173 5.114
O 3.085 0.524 4.166
O 6.089 3.980 1.114
Na 7.021 3.383 4.023
O 4.141 1.724 2.312
O 7.871 1.727 0.168
O 1.522 5.176 2.771
B 0.643 5.174 3.879
O 5.199 1.723 4.508
O 3.085 2.921 4.168
O 3.975 5.178 0.775
Fe 3.132 5.175 4.024
O 6.089 6.376 1.116
O 8.357 5.176 3.730
S 3.888 1.723 3.794
Na 2.154 3.518 1.259
Na 7.021 0.064 4.020
Fe 6.042 1.726 1.257
Na 0.679 1.722 3.946
Na 8.495 5.179 1.335
O 5.034 5.176 2.970
S 5.286 5.177 1.488
O 7.652 1.725 2.511
O 0.817 1.724 1.552
B 8.531 1.726 1.403
```

Computed properties:
size of the total moment: 4.00 μB per formula unit
VASP energy: -157.575 eV per cell
symmetry: No. 11